The following is a SCAN calculation of a crystal of Tl2CrAgRh relaxed with PBEsol, from the Alexandria database.

Unit cell a=5.1265 b=5.1265 c=4.3017 alpha=90.00 beta=90.00 gamma=90.00
Space group P4/mmm (No. 123)
Unique sites:
Tl1 0.0000 0.5000 0.0000 (multiplicity 2)
Cr1 0.0000 0.0000 0.0000 (multiplicity 1)
Ag1 0.5000 0.5000 0.5000 (multiplicity 1)
Rh1 0.0000 0.0000 0.5000 (multiplicity 1)

* calculated volume: 22.61 Å³ per atom
* ΔE_f: 0.803 eV/atom
* DOS(E_F): 0.6687 states/eV per atom

***

The following is a SCAN calculation of a crystal of Cr2AgRu relaxed with PBEsol, from the Alexandria database.

Unit cell a=3.7962 b=3.7962 c=7.3964 alpha=90.00 beta=90.00 gamma=90.00
Space group I-4m2 (No. 119)
Unique sites:
Cr1 0.0000 0.0000 0.0000 (multiplicity 2)
Cr2 0.0000 0.5000 0.2500 (multiplicity 2)
Ag1 0.0000 0.5000 0.7500 (multiplicity 2)
Ru1 0.0000 0.0000 0.5000 (multiplicity 2)

* calculated volume: 13.32 Å³ per atom
* ΔE_f: 0.386 eV/atom
* DOS(E_F): 1.1935 states/eV per atom

***

The following is a SCAN calculation of a crystal of Cr2AgRu relaxed with PBEsol, from the Alexandria database.

Unit cell a=2.8557 b=4.3450 c=8.5779 alpha=90.00 beta=90.00 gamma=90.00
Space group Imm2 (No. 44)
Unique sites:
Cr1 0.0000 0.0000 0.0000 (multiplicity 2)
Cr2 0.0000 0.5000 0.2946 (multiplicity 2)
Ag1 0.0000 0.0000 0.5259 (multiplicity 2)
Ru1 0.0000 0.5000 0.7413 (multiplicity 2)

* calculated volume: 13.30 Å³ per atom
* ΔE_f: 0.367 eV/atom
* DOS(E_F): 0.7746 states/eV per atom

***

The following is a SCAN calculation of a crystal of CrAgS3 relaxed with PBEsol, from the Alexandria database.

Unit cell a=4.4753 b=4.4753 c=4.4753 alpha=90.00 beta=90.00 gamma=90.00
Space group Pm-3m (No. 221)
Unique sites:
Cr1 0.0000 0.0000 0.0000 (multiplicity 1)
Ag1 0.5000 0.5000 0.5000 (multiplicity 1)
S1 0.0000 0.0000 0.5000 (multiplicity 3)

* calculated volume: 17.93 Å³ per atom
* DOS(E_F): 0.8360 states/eV per atom
* E_form (uncorrected): 0.0971 eV/atom

***

The following is a SCAN calculation of a crystal of ScCrAg2S relaxed with PBEsol, from the Alexandria database.

Unit cell a=5.0919 b=5.0919 c=4.6191 alpha=90.00 beta=90.00 gamma=90.00
Space group P4/mmm (No. 123)
Unique sites:
Sc1 0.0000 0.0000 0.0000 (multiplicity 1)
Cr1 0.5000 0.5000 0.5000 (multiplicity 1)
Ag1 0.0000 0.5000 0.0000 (multiplicity 2)
S1 0.0000 0.0000 0.5000 (multiplicity 1)

* calculated volume: 23.95 Å³ per atom
* DOS(E_F): 0.4325 states/eV per atom
* E_form (uncorrected): 0.4204 eV/atom

***

The following is a SCAN calculation of a crystal of CrAgSnS4 relaxed with PBEsol, from the Alexandria database.

Unit cell a=7.1796 b=7.4525 c=10.3600 alpha=90.00 beta=90.00 gamma=90.00
Space group Imma (No. 74)
Unique sites:
Cr1 0.2500 0.2500 0.2500 (multiplicity 4)
Ag1 0.0000 0.2500 0.6415 (multiplicity 4)
Sn1 0.0000 0.0000 0.0000 (multiplicity 4)
S1 0.0000 0.0366 0.2456 (multiplicity 8)
S2 0.2452 0.2500 0.0194 (multiplicity 8)

* calculated volume: 19.80 Å³ per atom
* DOS(E_F): 0.0854 states/eV per atom
* E_form (uncorrected): -0.6556 eV/atom

***

The following is a SCAN calculation of a crystal of CrAgSb relaxed with PBEsol, from the Alexandria database.

Unit cell a=6.2263 b=6.2263 c=6.2263 alpha=90.00 beta=90.00 gamma=90.00
Space group F-43m (No. 216)
Unique sites:
Cr1 0.0000 0.0000 0.0000 (multiplicity 4)
Ag1 0.2500 0.2500 0.2500 (multiplicity 4)
Sb1 0.2500 0.2500 0.7500 (multiplicity 4)

* calculated volume: 20.11 Å³ per atom
* DOS(E_F): 0.4549 states/eV per atom
* E_form (uncorrected): 0.1163 eV/atom
* excess energy over the best structure of this formula in the dataset: 0 meV per atom

***

The following is a SCAN calculation of a crystal of CrAg2Sb relaxed with PBEsol, from the Alexandria database.

Unit cell a=3.9716 b=3.9716 c=9.0437 alpha=90.00 beta=90.00 gamma=90.00
Space group I4/mmm (No. 139)
Unique sites:
Cr1 0.0000 0.0000 0.0000 (multiplicity 2)
Ag1 0.0000 0.5000 0.2500 (multiplicity 4)
Sb1 0.0000 0.0000 0.5000 (multiplicity 2)

* calculated volume: 17.83 Å³ per atom
* DOS(E_F): 0.3806 states/eV per atom
* E_form (uncorrected): 0.0868 eV/atom